[1]
# PuVH2

A relaxed structure of PuVH2 (PBE-GGA, Alexandria).

Output
* DOS at the Fermi energy: 1.564 states/eV/atom
* space group: P4/mmm, No. 123
* uncorrected energy: -7.232 eV/atom
* offset from the most stable computed form: 388 meV per atom

a b c (Å): 3.9114 3.9114 2.7786
angles (deg): 90.00 90.00 90.00
Last column: nearest neighbours and their distance in Å.
Positions (direct):
Pu 0.0000 0.0000 0.0000  8 H 2.40
V 0.5000 0.5000 0.0000  8 H 2.40
H 0.0000 0.5000 0.5000  4 V 2.40, 4 Pu 2.40
H 0.5000 0.0000 0.5000  4 V 2.40, 4 Pu 2.40

[2]
# PuVH3

A relaxed structure of PuVH3 (PBE-GGA, Alexandria).

Output
* DOS at the Fermi energy: 1.166 states/eV/atom
* space group: Pm-3m, No. 221
* uncorrected energy: -6.878 eV/atom
* offset from the most stable computed form: 0 meV per atom

a b c (Å): 3.6493 3.6493 3.6493
angles (deg): 90.00 90.00 90.00
Last column: nearest neighbours and their distance in Å.
Positions (direct):
Pu 0.0000 0.0000 0.0000  12 H 2.58
V 0.5000 0.5000 0.5000  6 H 1.82
H 0.0000 0.5000 0.5000  2 V 1.82
H 0.5000 0.0000 0.5000  2 V 1.82
H 0.5000 0.5000 0.0000  2 V 1.82

[3]
# PuVH3

A relaxed structure of PuVH3 (PBE-GGA, Alexandria).

Output
* DOS at the Fermi energy: 1.153 states/eV/atom
* space group: P2_1/c, No. 14
* uncorrected energy: -6.853 eV/atom
* offset from the most stable computed form: 25 meV per atom

a b c (Å): 6.3897 4.8073 7.8994
angles (deg): 90.00 127.88 90.00
Last column: nearest neighbours and their distance in Å.
Positions (direct):
Pu 0.2204 0.2500 0.1111  5 H 2.18-2.44
Pu 0.2204 0.2500 0.6111  5 H 2.18-2.44
Pu 0.7796 0.7500 0.3889  5 H 2.18-2.44
Pu 0.7796 0.7500 0.8889  5 H 2.18-2.44
V 0.2928 0.7471 0.3964  6 H 1.78-1.98
V 0.2928 0.7529 0.8964  6 H 1.78-1.98
V 0.7072 0.2471 0.1036  6 H 1.78-1.98
V 0.7072 0.2529 0.6036  6 H 1.78-1.98
H 0.0279 0.0282 0.2669  2 V 1.90-1.93
H 0.0279 0.4718 0.7669  2 V 1.90-1.93
H 0.2799 0.7501 0.1401  2 V 1.98
H 0.2799 0.7499 0.6401  2 V 1.98
H 0.3690 0.1382 0.9348  2 V 1.78-1.89, 1 H 1.87
H 0.3690 0.3618 0.4348  2 V 1.78-1.89, 1 H 1.87
H 0.6310 0.6382 0.5652  2 V 1.78-1.89, 1 H 1.87
H 0.6310 0.8618 0.0652  2 V 1.78-1.89, 1 H 1.87
H 0.7201 0.2501 0.3599  2 V 1.98
H 0.7201 0.2499 0.8599  2 V 1.98
H 0.9721 0.5282 0.2331  2 V 1.90-1.93
H 0.9721 0.9718 0.7331  2 V 1.90-1.93

[4]
# PuVH2

A relaxed structure of PuVH2 (PBE-GGA, Alexandria).

Output
* DOS at the Fermi energy: 1.264 states/eV/atom
* space group: R-3m, No. 166
* uncorrected energy: -7.619 eV/atom
* offset from the most stable computed form: 0 meV per atom

a b c (Å): 5.9236 5.9236 5.9236
angles (deg): 27.91 27.91 27.91
Last column: nearest neighbours and their distance in Å.
Positions (direct):
Pu 0.0000 0.0000 0.0000  6 H 2.52
V 0.5000 0.5000 0.5000  6 H 1.90
H 0.2217 0.2217 0.2217  3 V 1.90
H 0.7783 0.7783 0.7783  3 V 1.90

[5]
# Y3PuH

A relaxed structure of Y3PuH (PBE-GGA, Alexandria).

Output
* DOS at the Fermi energy: 3.268 states/eV/atom
* space group: Pm-3m, No. 221
* uncorrected energy: -7.463 eV/atom

a b c (Å): 4.9630 4.9630 4.9630
angles (deg): 90.00 90.00 90.00
Last column: nearest neighbours and their distance in Å.
Positions (direct):
Y 0.0000 0.0000 0.5000  2 H 2.48
Y 0.0000 0.5000 0.0000  2 H 2.48
Y 0.5000 0.0000 0.0000  2 H 2.48
Pu 0.5000 0.5000 0.5000  12 Y 3.51
H 0.0000 0.0000 0.0000  6 Y 2.48

[6]
# YPuH

A relaxed structure of YPuH (PBE-GGA, Alexandria).

Output
* DOS at the Fermi energy: 2.883 states/eV/atom
* space group: P3m1, No. 156
* uncorrected energy: -8.147 eV/atom
* offset from the most stable computed form: 0 meV per atom

a b c (Å): 3.4918 3.4918 5.7540
angles (deg): 90.00 90.00 120.00
Last column: nearest neighbours and their distance in Å.
Positions (direct):
Y 0.0000 0.0000 0.0000  3 H 2.44
Pu 0.3333 0.6667 0.4926  3 H 2.49
H 0.6667 0.3333 0.2387  3 Y 2.44, 3 Pu 2.49

[7]
# YPuH

A relaxed structure of YPuH (PBE-GGA, Alexandria).

Output
* DOS at the Fermi energy: 2.752 states/eV/atom
* space group: I4mm, No. 107
* uncorrected energy: -8.008 eV/atom
* offset from the most stable computed form: 139 meV per atom

a b c (Å): 6.3665 6.3665 6.3665
angles (deg): 150.47 150.47 42.26
Last column: nearest neighbours and their distance in Å.
Positions (direct):
Y 0.0000 0.0000 0.0000  4 H 2.32
Pu 0.2791 0.2791 0.0000  1 H 2.28
H 0.4710 0.4710 0.0000  1 Pu 2.28, 4 Y 2.32

[8]
# YPu2H

A relaxed structure of YPu2H (PBE-GGA, Alexandria).

Output
* DOS at the Fermi energy: 1.091 states/eV/atom
* space group: R-3m, No. 166
* uncorrected energy: -9.144 eV/atom

a b c (Å): 7.2340 7.2340 7.2340
angles (deg): 29.49 29.49 29.49
Last column: nearest neighbours and their distance in Å.
Positions (direct):
Y 0.0000 0.0000 0.0000  2 Pu 2.93
Pu 0.1415 0.1415 0.1415  3 H 2.19, 3 Pu 2.37
Pu 0.8585 0.8585 0.8585  3 H 2.19, 3 Pu 2.37
H 0.5000 0.5000 0.5000  6 Pu 2.19

[9]
# YPu2H8

A relaxed structure of YPu2H8 (PBE-GGA, Alexandria).

Output
* DOS at the Fermi energy: 1.241 states/eV/atom
* space group: Immm, No. 71
* uncorrected energy: -6.119 eV/atom

a b c (Å): 6.4571 6.4571 6.4571
angles (deg): 146.10 134.07 58.30
Last column: nearest neighbours and their distance in Å.
Positions (direct):
Y 0.0000 0.0000 0.0000  8 H 2.18-2.32
Pu 0.3203 0.3203 0.0000  10 H 2.24-2.48
Pu 0.6797 0.6797 0.0000  10 H 2.24-2.48
H 0.1123 0.8473 0.2651  1 Y 2.18, 3 Pu 2.24-2.31, 4 H 2.26-2.37
H 0.1771 0.6771 0.5000  8 H 2.26-2.41, 4 Pu 2.48-2.52
H 0.2680 0.5000 0.7680  2 Y 2.32, 7 H 2.34-2.55, 2 Pu 2.34
H 0.4178 0.1527 0.2651  1 Y 2.18, 3 Pu 2.24-2.31, 4 H 2.26-2.37
H 0.5822 0.8473 0.7349  1 Y 2.18, 3 Pu 2.24-2.31, 4 H 2.26-2.37
H 0.7320 0.5000 0.2320  2 Y 2.32, 7 H 2.34-2.55, 2 Pu 2.34
H 0.8229 0.3229 0.5000  8 H 2.26-2.41, 4 Pu 2.48-2.52
H 0.8877 0.1527 0.7349  1 Y 2.18, 3 Pu 2.24-2.31, 4 H 2.26-2.37

[10]
# YPuH

A relaxed structure of YPuH (PBE-GGA, Alexandria).

Output
* DOS at the Fermi energy: 1.296 states/eV/atom
* space group: Imma, No. 74
* uncorrected energy: -8.073 eV/atom
* offset from the most stable computed form: 74 meV per atom

a b c (Å): 6.3741 6.3741 6.3741
angles (deg): 145.91 130.02 61.88
Last column: nearest neighbours and their distance in Å.
Positions (direct):
Y 0.3551 0.1051 0.2500  3 H 2.12-2.17
Y 0.6449 0.8949 0.7500  3 H 2.12-2.17
Pu 0.0616 0.3116 0.7500  2 Pu 2.30
Pu 0.9384 0.6884 0.2500  2 Pu 2.30
H 0.4466 0.6966 0.7500  3 Y 2.12-2.17, 2 H 2.20
H 0.5534 0.3034 0.2500  3 Y 2.12-2.17, 2 H 2.20

[11]
# YPuH2

A relaxed structure of YPuH2 (PBE-GGA, Alexandria).

Output
* DOS at the Fermi energy: 2.369 states/eV/atom
* space group: R3m, No. 160
* uncorrected energy: -7.060 eV/atom
* offset from the most stable computed form: 109 meV per atom

a b c (Å): 6.2956 6.2956 6.2956
angles (deg): 31.56 31.56 31.56
Last column: nearest neighbours and their distance in Å.
Positions (direct):
Y 0.0000 0.0000 0.0000  6 H 2.35-2.41
Pu 0.1765 0.1765 0.1765  6 H 2.51-2.67
H 0.4098 0.4098 0.4098  3 Y 2.41, 3 Pu 2.67
H 0.5959 0.5959 0.5959  3 Y 2.35, 3 Pu 2.51

[12]
# YPuH2

A relaxed structure of YPuH2 (PBE-GGA, Alexandria).

Output
* DOS at the Fermi energy: 1.823 states/eV/atom
* space group: R-3m, No. 166
* uncorrected energy: -7.169 eV/atom
* offset from the most stable computed form: 0 meV per atom

a b c (Å): 6.0841 6.0841 6.0841
angles (deg): 32.92 32.92 32.92
Last column: nearest neighbours and their distance in Å.
Positions (direct):
Y 0.0000 0.0000 0.0000  6 H 2.39
Pu 0.5000 0.5000 0.5000  6 H 2.53
H 0.2570 0.2570 0.2570  3 Y 2.39, 3 Pu 2.53
H 0.7430 0.7430 0.7430  3 Y 2.39, 3 Pu 2.53

- The highest DOS at the Fermi energy belongs to which entry?
  Y3PuH

- Number 1 is which compound?
  PuVH2

- Look up the uncorrected energy of the sixth one.
  -8.147 eV/atom